Record 1
The following is a PBE calculation of a relaxed PuInHgTe crystal, from Alexandria.

## Properties
The calculation puts the total energy at -86.89 eV/cell. Its density of states at the Fermi level is 3.622 states/eV per atom.

Cell and atoms, written as CIF:
```
data_PuInHgTe
_space_group_name_H-M_alt 'F -4 3 m'
_space_group_IT_number 216
_space_group_name_Hall 'F -4 2 3'
_cell_length_a 7.586
_cell_length_b 7.586
_cell_length_c 7.586
_cell_angle_alpha 90.00
_cell_angle_beta 90.00
_cell_angle_gamma 90.00
loop_
_atom_site_label
_atom_site_type_symbol
_atom_site_fract_x
_atom_site_fract_y
_atom_site_fract_z
Pu1 Pu 0.000 0.000 0.000
In1 In 0.000 0.000 0.500
Hg1 Hg 0.250 0.250 0.250
Te1 Te 0.250 0.250 0.750
```

=====

Record 2
The following is a PBE calculation of a relaxed Y2PuIn3Hg6 crystal, from Alexandria.

## Properties
As for the formation energy: 22 meV per atom. Its density of states at the Fermi level is 1.448 states/eV per atom.

Cell and atoms, written as CIF:
```
data_Y2PuIn3Hg6
_space_group_name_H-M_alt 'P 4/m m m'
_space_group_IT_number 123
_space_group_name_Hall '-P 4 2'
_cell_length_a 4.110
_cell_length_b 4.110
_cell_length_c 21.580
_cell_angle_alpha 90.00
_cell_angle_beta 90.00
_cell_angle_gamma 90.00
loop_
_atom_site_label
_atom_site_type_symbol
_atom_site_fract_x
_atom_site_fract_y
_atom_site_fract_z
Y1 Y 0.000 0.000 0.201
Pu1 Pu 0.000 0.000 0.500
In1 In 0.500 0.500 0.000
In2 In 0.500 0.500 0.272
Hg1 Hg 0.000 0.500 0.383
Hg2 Hg 0.500 0.500 0.130
```